Compound: YZn2Pb
Source: Alexandria
Functional: meta-GGA SCAN
Structure: PBEsol geometry

abc: 4.9548 4.9548 4.9548
angles: 60.00 60.00 60.00
With the nearest neighbours (Å) after each atom.
Element x y z (fractional)
Y 0.0000 0.0000 0.0000  4 Pb 3.03, 4 Zn 3.03
Zn 0.2500 0.2500 0.2500  4 Zn 3.03, 4 Y 3.03
Zn 0.5000 0.5000 0.5000  4 Pb 3.03, 4 Zn 3.03
Pb 0.7500 0.7500 0.7500  4 Y 3.03, 4 Zn 3.03

Properties
calculated density	8.2	g cm⁻³
E	-32.791	eV/atom

Compound: Y2ZnPb
Source: Alexandria
Functional: meta-GGA SCAN
Structure: PBEsol geometry

abc: 4.2444 5.9903 5.9903
angles: 42.11 90.00 90.00
With the nearest neighbours (Å) after each atom.
Element x y z (fractional)
Y 0.0000 0.0000 0.0000  1 Zn 3.00, 4 Pb 3.11
Y 0.5000 0.2840 0.2840  4 Zn 3.08, 3 Pb 3.16-3.25
Zn 0.0000 0.7316 0.7316  2 Pb 2.81, 5 Y 3.00-3.08
Pb 0.5000 0.5665 0.5665  2 Zn 2.81, 4 Y 3.11

Properties
calculated density	7.3	g cm⁻³
E	-36.900	eV/atom

Compound: YZnPb2
Source: Alexandria
Functional: meta-GGA SCAN
Structure: PBEsol geometry

abc: 4.6882 4.6882 4.3882
angles: 90.00 90.00 90.00
With the nearest neighbours (Å) after each atom.
Element x y z (fractional)
Y 0.0000 0.0000 0.0000  8 Pb 3.21, 4 Zn 3.32
Zn 0.5000 0.5000 0.0000  8 Pb 3.21, 4 Y 3.32
Pb 0.0000 0.5000 0.5000  4 Zn 3.21, 4 Y 3.21, 4 Pb 3.32
Pb 0.5000 0.0000 0.5000  4 Zn 3.21, 4 Y 3.21, 4 Pb 3.32

Properties
calculated density	9.8	g cm⁻³
E	-48.622	eV/atom

Compound: Y2ZnPb
Source: Alexandria
Functional: meta-GGA SCAN
Structure: PBEsol geometry

abc: 9.1824 9.1824 9.1824
angles: 23.18 23.18 23.18
With the nearest neighbours (Å) after each atom.
Element x y z (fractional)
Y 0.2418 0.2418 0.2418  3 Zn 2.93, 3 Pb 3.25
Y 0.7582 0.7582 0.7582  3 Zn 2.93, 3 Pb 3.25
Zn 0.5000 0.5000 0.5000  6 Y 2.93
Pb 0.0000 0.0000 0.0000  6 Y 3.25

Properties
calculated density	7.1	g cm⁻³
E	-36.640	eV/atom

Compound: YZnPb2
Source: Alexandria
Functional: meta-GGA SCAN
Structure: PBEsol geometry

abc: 3.5800 4.3996 6.3811
angles: 90.00 92.22 90.00
With the nearest neighbours (Å) after each atom.
Element x y z (fractional)
Y 0.0000 0.0000 0.0000  6 Pb 3.08-3.34, 4 Zn 3.16-3.29
Zn 0.4826 0.5000 0.2398  4 Pb 3.04-3.34, 4 Y 3.16-3.29
Pb 0.4734 0.5000 0.7627  2 Zn 3.04-3.34, 4 Y 3.19-3.24, 2 Pb 3.28
Pb 0.9054 0.0000 0.4776  2 Zn 3.04, 2 Y 3.08-3.34, 2 Pb 3.28

Properties
calculated density	9.4	g cm⁻³
E	-48.454	eV/atom

Compound: Y2ZnPb
Source: Alexandria
Functional: meta-GGA SCAN
Structure: PBEsol geometry

abc: 6.1025 6.1025 6.1025
angles: 142.49 134.40 60.47
With the nearest neighbours (Å) after each atom.
Element x y z (fractional)
Y 0.0000 0.0000 0.0000  4 Pb 3.10, 2 Zn 3.32, 4 Y 3.42
Y 0.7349 0.2349 0.5000  4 Zn 3.08, 2 Pb 3.34, 4 Y 3.42
Zn 0.2546 0.7546 0.5000  2 Pb 2.91, 4 Y 3.08
Pb 0.4586 0.4586 0.0000  2 Zn 2.91, 4 Y 3.10

Properties
calculated density	7.6	g cm⁻³
E	-36.762	eV/atom